This record from Alexandria via LeMat-Bulk describes a geometry-optimized ZrV2Ni2 structure. The functional is PBE.

magnetization	0.0	μB/cell
energy of formation	9.3	kJ/mol of atoms
final energy	-37.87	eV for the cell shown
symmetry	No. 139

Lattice parameters (Å, degrees): 5.870 5.870 5.870 142.30 142.30 54.37
Element x y z (fractional)
Zr (0.000, 0.000, 0.000)
V (0.385, 0.385, 0.000)
V (0.615, 0.615, 0.000)
Ni (0.250, 0.750, 0.500)
Ni (0.750, 0.250, 0.500)